NiRh3O (PBE with a Hubbard U, relaxed); E = -4.0179 eV/atom; space group = Pm-3m, No. 221; volume = 18.10 Å³ per atom
1.0
4.490 0.000 0.000
0.000 4.490 0.000
0.000 0.000 4.490
Ni Rh O
1 3 1
direct
0.000 0.000 0.000
0.000 0.000 0.500
0.000 0.500 0.000
0.500 0.000 0.000
0.500 0.500 0.500